[1]
The following is a DFT calculation (GGA-PBE) of an optimized crystal structure of Tm2WN4.

a b c (Å): 6.5028 6.5028 6.5025
angles (deg): 60.00 60.00 90.00
Sites, in units of the cell vectors:
1 Tm 0.5000 0.5000 0.5000
2 Tm 0.5000 0.0000 0.0000
3 Tm 0.5000 0.0000 0.5000
4 Tm 0.0000 0.0000 0.0000
5 W 0.1250 0.3750 0.2500
6 W 0.8750 0.6250 0.7500
7 N 0.7647 0.2549 0.4901
8 N 0.2451 0.2549 0.0098
9 N 0.2353 0.7451 0.5099
10 N 0.7549 0.2647 0.9901
11 N 0.2451 0.2549 0.4902
12 N 0.2451 0.7353 0.0099
13 N 0.7549 0.7451 0.5098
14 N 0.7549 0.7451 0.9902

## Properties
- SG = Fd-3m
- relative energy among the computed polymorphs (meV/atom) = 0
- formation energy (no corrections) (eV/f.u.) = -8.066

[2]
The following is a DFT calculation (GGA-PBE) of an optimized crystal structure of Tm3W5N12.

a b c (Å): 11.0094 11.0094 11.0094
angles (deg): 109.47 109.47 109.47
Sites, in units of the cell vectors:
1 Tm 0.8750 0.7500 0.1250
2 Tm 0.6250 0.2500 0.3750
3 Tm 0.1250 0.8750 0.7500
4 Tm 0.2500 0.1250 0.3750
5 Tm 0.3750 0.6250 0.2500
6 Tm 0.1250 0.2500 0.8750
7 Tm 0.6250 0.3750 0.7500
8 Tm 0.7500 0.3750 0.1250
9 Tm 0.2500 0.6250 0.8750
10 Tm 0.7500 0.8750 0.6250
11 Tm 0.3750 0.7500 0.6250
12 Tm 0.8750 0.1250 0.2500
13 N 0.3197 0.5231 0.4048
14 N 0.4048 0.0231 0.3197
15 N 0.5231 0.2034 0.1183
16 N 0.4048 0.3817 0.5851
17 N 0.4769 0.6803 0.0952
18 N 0.9048 0.0851 0.8817
19 N 0.9149 0.0952 0.6183
20 N 0.2034 0.6803 0.0851
21 N 0.2034 0.5231 0.6183
22 N 0.0851 0.1803 0.2034
23 N 0.4149 0.1183 0.5952
24 N 0.0231 0.4048 0.8197
25 N 0.8817 0.5851 0.9048
26 N 0.9769 0.3817 0.2966
27 N 0.1183 0.7034 0.5231
28 N 0.7966 0.4769 0.3817
29 N 0.9048 0.8197 0.5231
30 N 0.9769 0.5952 0.1803
31 N 0.4149 0.2966 0.3197
32 N 0.7034 0.1183 0.0231
33 N 0.7034 0.5851 0.1803
34 N 0.0952 0.1803 0.4769
35 N 0.2966 0.8817 0.9769
36 N 0.1183 0.4149 0.0952
37 N 0.0231 0.6183 0.7034
38 N 0.6803 0.2034 0.5851
39 N 0.3817 0.9769 0.7966
40 N 0.4769 0.7966 0.8817
41 N 0.8197 0.9149 0.2966
42 N 0.2966 0.4149 0.8197
43 N 0.8817 0.2966 0.4769
44 N 0.1803 0.0851 0.7034
45 N 0.3197 0.7966 0.4149
46 N 0.5231 0.3197 0.9048
47 N 0.6183 0.0231 0.2034
48 N 0.5851 0.7034 0.6803
49 N 0.5952 0.6183 0.4149
50 N 0.6183 0.5952 0.9149
51 N 0.0952 0.9149 0.1183
52 N 0.0851 0.9048 0.3817
53 N 0.8197 0.9048 0.0231
54 N 0.6803 0.4769 0.5952
55 N 0.3817 0.4048 0.0851
56 N 0.7966 0.3197 0.9149
57 N 0.5851 0.8817 0.4048
58 N 0.5952 0.9769 0.6803
59 N 0.1803 0.0952 0.9769
60 N 0.9149 0.8197 0.7966
61 W 0.0000 0.0000 0.0000
62 W 0.7500 0.1250 0.8750
63 W 0.5000 0.5000 0.0000
64 W 0.2500 0.3750 0.6250
65 W 0.5000 0.5000 0.5000
66 W 0.8750 0.6250 0.7500
67 W 0.1250 0.3750 0.2500
68 W 0.6250 0.7500 0.8750
69 W 0.3750 0.2500 0.1250
70 W 0.0000 0.5000 0.5000
71 W 0.2500 0.8750 0.1250
72 W 0.3750 0.1250 0.7500
73 W 0.0000 0.5000 0.0000
74 W 0.6250 0.8750 0.2500
75 W 0.0000 0.0000 0.5000
76 W 0.1250 0.7500 0.3750
77 W 0.8750 0.2500 0.6250
78 W 0.7500 0.6250 0.3750
79 W 0.5000 0.0000 0.0000
80 W 0.5000 0.0000 0.5000

## Properties
- SG = Ia-3d
- formation energy (no corrections) (eV/f.u.) = -15.811